VASP calculation (PBE) on a relaxed KPuSb crystal.

Calculated values
Theoretical density: 6.13 Mg/m³
Energy: -77.3 eV for the cell shown

Cell: 7.5974 7.5974 7.5974 Å, 90.00 90.00 90.00°
Last column: nearest neighbours and their distance in Å.
Space group F-43m (No. 216)
Unique sites:
K: 0.0000 0.0000 0.0000  4 Pu 3.29
Pu: 0.2500 0.2500 0.2500  4 K 3.29, 4 Sb 3.29
Sb: 0.0000 0.0000 0.5000  4 Pu 3.29

---

VASP calculation (PBE) on a relaxed Nd2ZnHg crystal.

Calculated values
Theoretical density: 8.72 Mg/m³
Energy: -12.7 eV for the cell shown
Formation energy from the elements: -155 kJ/mol of formula units

Cell: 3.7424 3.7424 7.5405 Å, 90.00 90.00 90.00°
Last column: nearest neighbours and their distance in Å.
Space group P4/mmm (No. 123)
Unique sites:
Nd: 0.0000 0.0000 0.2332  4 Zn 3.18, 4 Hg 3.32, 1 Nd 3.52
Zn: 0.5000 0.5000 0.0000  8 Nd 3.18
Hg: 0.5000 0.5000 0.5000  8 Nd 3.32

---

VASP calculation (PBE) on a relaxed LuPuU crystal.

Calculated values
Theoretical density: 13.01 Mg/m³
Energy: -107.9 eV for the cell shown
Formation energy from the elements: 286 kJ/mol of formula units

Cell: 6.9486 6.9486 6.9486 Å, 90.00 90.00 90.00°
Last column: nearest neighbours and their distance in Å.
Space group F-43m (No. 216)
Unique sites:
Lu: 0.0000 0.0000 0.0000  4 U 3.01
Pu: 0.0000 0.0000 0.5000  4 U 3.01
U: 0.2500 0.2500 0.2500  4 Pu 3.01, 4 Lu 3.01

---

VASP calculation (PBE) on a relaxed PrScH4 crystal.

Calculated values
Theoretical density: 4.67 Mg/m³
Energy: -28.2 eV for the cell shown

Cell: 3.5775 3.5775 5.2789 Å, 90.00 90.00 90.00°
Last column: nearest neighbours and their distance in Å.
Space group P4/mmm (No. 123)
Unique sites:
Pr: 0.0000 0.0000 0.0000  8 H 2.35
Sc: 0.5000 0.5000 0.5000  8 H 2.11
H: 0.0000 0.5000 0.2888  2 Sc 2.11, 1 H 2.23, 2 Pr 2.35

---

VASP calculation (PBE) on a relaxed Ag3SeI crystal.

Calculated values
Theoretical density: 6.93 Mg/m³
Energy: -110.8 eV for the cell shown

Cell: 10.1076 9.9113 10.1327 Å, 90.00 90.00 90.00°
Last column: nearest neighbours and their distance in Å.
Space group Cmcm (No. 63)
Unique sites:
Ag: 0.0000 0.1948 0.0375  2 Se 2.61, 1 I 2.92
Ag: 0.1570 0.5000 0.0000  2 Se 2.65
Ag: 0.2487 0.3415 0.2500  2 Se 2.69, 1 I 2.96
Se: 0.2500 0.2500 0.0000  6 Ag 2.61-2.69
I: 0.0000 0.0045 0.7500  4 Ag 2.92-2.96
I: 0.0000 0.4715 0.7500  6 Ag 3.00-3.12

---

VASP calculation (PBE) on a relaxed RbGdNb crystal.

Calculated values
Theoretical density: 4.52 Mg/m³
Energy: -42.8 eV for the cell shown

Cell: 7.9037 7.9037 7.9037 Å, 90.00 90.00 90.00°
Last column: nearest neighbours and their distance in Å.
Space group F-43m (No. 216)
Unique sites:
Rb: 0.0000 0.0000 0.0000  4 Nb 3.42
Gd: 0.0000 0.0000 0.5000  4 Nb 3.42
Nb: 0.2500 0.2500 0.7500  4 Gd 3.42, 4 Rb 3.42

---

VASP calculation (PBE) on a relaxed ZrTlAsO crystal.

Calculated values
Theoretical density: 8.17 Mg/m³
Energy: -49.7 eV for the cell shown

Cell: 3.9037 3.9037 10.3103 Å, 90.00 90.00 90.00°
Last column: nearest neighbours and their distance in Å.
Space group P4/nmm (No. 129, origin choice 2)
Unique sites:
Zr: 0.2500 0.2500 0.1049  4 O 2.23
Tl: 0.2500 0.7500 0.5000  4 Tl 2.76
As: 0.2500 0.2500 0.7595  4 Zr 3.09, 4 O 3.16, 4 Tl 3.31
O: 0.2500 0.7500 0.0000  4 Zr 2.23

---

VASP calculation (PBE) on a relaxed LiSnGeIr crystal.

Calculated values
Theoretical density: 9.95 Mg/m³
Energy: -81.8 eV for the cell shown

Cell: 6.3872 6.3872 6.3872 Å, 90.00 90.00 90.00°
Last column: nearest neighbours and their distance in Å.
Space group F-43m (No. 216)
Unique sites:
Li: 0.0000 0.0000 0.0000  4 Ge 2.77, 4 Sn 2.77
Sn: 0.2500 0.2500 0.2500  4 Ir 2.77, 4 Li 2.77
Ge: 0.2500 0.2500 0.7500  4 Li 2.77, 4 Ir 2.77
Ir: 0.0000 0.0000 0.5000  4 Ge 2.77, 4 Sn 2.77